Entry 1:
# KRbCeF6

A relaxed KRbCeF6 crystal (PBE, Alexandria via LeMat-Bulk).

The structure belongs to space group P-31c (No. 163); the cell edges are 6.7445, 6.7445 and 10.0862 Å and the angles 90.00°, 90.00° and 120.00°. Symmetry generates all atoms from K at (0.3333, 0.6667, 0.2500), Rb at (0.0000, 0.0000, 0.0000), Ce at (0.3333, 0.6667, 0.7500) and F at (0.0566, 0.3952, 0.6362).

For the uncorrected formation energy, the calculation gives -3.38 eV per atom. The calculation puts the spin magnetization at 0.01 μB/cell. For the total DFT energy (no corrections), the calculation gives -5.52 eV/atom.

=====

Entry 2:
# KSrCeF6

A relaxed KSrCeF6 crystal (PBE, Alexandria via LeMat-Bulk).

The structure belongs to space group P-31c (No. 163); the cell edges are 6.4519, 6.4519 and 9.9420 Å and the angles 90.00°, 90.00° and 120.00°. Symmetry generates all atoms from K at (0.3333, 0.6667, 0.2500), Sr at (0.0000, 0.0000, 0.0000), Ce at (0.3333, 0.6667, 0.7500) and F at (0.0430, 0.3470, 0.6280).

For the uncorrected formation energy, the calculation gives -3.66 eV per atom. The calculation puts the spin magnetization at 2.00 μB/cell. For the total DFT energy (no corrections), the calculation gives -5.87 eV/atom.

=====

Entry 3:
# K2CeTlF8

A relaxed K2CeTlF8 crystal (PBE, Alexandria via LeMat-Bulk).

The structure belongs to space group I-4m2 (No. 119); the cell edges are 5.9765, 5.9765 and 11.3573 Å and the angles 90.00°, 90.00° and 90.00°. Symmetry generates all atoms from K at (0.0000, 0.0000, 0.0000), K at (0.0000, 0.5000, 0.2500), Ce at (0.0000, 0.5000, 0.7500), Tl at (0.0000, 0.0000, 0.5000) and F at (0.2133, 0.2672, 0.6315).

For the uncorrected formation energy, the calculation gives -2.96 eV per atom. The calculation puts the spin magnetization at 0.00 μB/cell. For the total DFT energy (no corrections), the calculation gives -5.08 eV/atom.